[1]
CsCuSeCl6: optimized geometry, PBE.

Structure (POSCAR):
```
CsCuSeCl6
1.0
6.491 0.000 0.000
3.226 6.199 0.000
0.526 -0.025 7.384
Cs Cu Se Cl
1 1 1 6
Cartesian
0.000 0.000 0.000
3.486 1.120 3.698
6.720 3.672 3.701
1.809 2.088 4.858
5.492 5.560 2.622
5.290 3.487 5.614
5.158 2.080 2.528
7.920 5.568 4.801
8.152 3.526 1.787
```

Calculated values
V: 33.0 Å³/atom
total energy: -2.899 eV per atom
crystal system: triclinic
space group: No. 1
formation energy without anion corrections: -16.8 kcal/mol of atoms
total moment: 0.10 μB/cell

***

[2]
AlPb6: optimized geometry, PBE.

Structure (POSCAR):
```
AlPb6
1.0
8.591 0.000 0.000
0.000 8.591 0.000
0.000 0.000 8.591
Al Pb
2 12
Cartesian
0.000 0.000 0.000
4.296 4.296 4.296
0.000 2.148 4.296
0.000 4.296 2.148
0.000 4.296 6.444
0.000 6.444 4.296
2.148 0.000 4.296
2.148 4.296 0.000
4.296 0.000 2.148
4.296 0.000 6.444
4.296 2.148 0.000
4.296 6.444 0.000
6.444 0.000 4.296
6.444 4.296 0.000
```

Calculated values
V: 45.3 Å³/atom
N(E_F): 12.900 states/eV/cell
total energy: -3.072 eV per atom
crystal system: cubic
space group: No. 229
DFT formation energy: 0.641 eV/atom
total moment: 0.00 μB/cell

***

[3]
TaNbV2H8: optimized geometry, PBE.

Structure (POSCAR):
```
TaNbV2H8
1.0
-2.194 2.194 4.379
2.194 -2.194 4.379
2.194 2.194 -4.379
Ta Nb V H
1 1 2 8
Cartesian
0.000 0.000 0.000
0.000 2.194 2.190
2.194 0.000 2.190
0.000 0.000 4.379
1.089 1.179 -1.087
1.105 -1.015 3.292
1.179 1.089 1.087
3.209 1.089 1.087
1.089 3.209 -1.087
1.105 1.015 3.292
-1.015 1.105 5.467
1.015 1.105 5.467
```

Calculated values
V: 7.0 Å³/atom
N(E_F): 3.919 states/eV/cell
total energy: -5.790 eV per atom
crystal system: tetragonal
space group: No. 119
total moment: 0.00 μB/cell

***

[4]
Ac4Pr2Y: optimized geometry, PBE.

Structure (POSCAR):
```
Ac4Pr2Y
1.0
0.000 10.328 6.384
4.462 0.000 6.384
4.462 10.328 0.000
Ac Pr Y
8 4 2
Cartesian
5.535 8.433 3.000
5.525 3.573 6.384
3.388 12.222 3.000
3.304 7.059 6.191
5.619 13.597 6.191
5.630 8.737 9.575
3.399 17.082 6.384
3.294 11.919 9.575
5.922 9.882 6.207
8.153 15.938 9.399
3.002 10.774 6.207
5.233 15.046 9.399
4.462 10.328 0.005
2.231 5.164 3.197
```

Calculated values
V: 42.0 Å³/atom
N(E_F): 23.848 states/eV/cell
total energy: -4.394 eV per atom
crystal system: orthorhombic
space group: No. 43
DFT formation energy: 0.243 eV/atom
total moment: 0.00 μB/cell

***

[5]
PrHPd: optimized geometry, PBE.

Structure (POSCAR):
```
PrHPd
1.0
4.017 0.000 0.000
-2.008 3.478 0.000
0.000 0.000 4.041
Pr H Pd
1 1 1
Cartesian
0.000 0.000 0.000
0.000 2.319 0.010
2.008 1.159 2.021
```

Calculated values
energy above the most stable polymorph in this dataset: 252 meV/atom
V: 18.8 Å³/atom
N(E_F): 0.324 states/eV/cell
total energy: -4.859 eV per atom
crystal system: trigonal
space group: No. 156
total moment: 0.00 μB/cell

***

[6]
Sr2ScAuO: optimized geometry, PBE.

Structure (POSCAR):
```
Sr2ScAuO
1.0
5.362 0.000 0.000
0.000 5.362 0.000
0.000 0.000 4.160
Sr Sc Au O
2 1 1 1
Cartesian
0.000 2.681 0.000
2.681 0.000 0.000
0.000 0.000 2.080
2.681 2.681 2.080
0.000 0.000 0.000
```

Calculated values
V: 23.9 Å³/atom
N(E_F): 2.397 states/eV/cell
total energy: -4.913 eV per atom
crystal system: tetragonal
space group: No. 123
formation energy without anion corrections: -30.6 kcal/mol of atoms
total moment: 0.00 μB/cell

***

[7]
Sm2Tm2Se2S3: optimized geometry, PBE.

Structure (POSCAR):
```
Sm2Tm2Se2S3
1.0
-2.659 2.659 7.484
2.659 -2.659 7.484
2.659 2.659 -7.484
Sm Tm Se S
2 2 2 3
Cartesian
0.000 0.000 2.991
0.000 0.000 11.978
2.659 0.000 0.000
0.000 2.659 0.000
0.000 0.000 5.957
0.000 0.000 9.012
0.000 0.000 0.000
2.659 0.000 3.742
0.000 2.659 3.742
```

Calculated values
V: 23.5 Å³/atom
N(E_F): 4.804 states/eV/cell
total energy: -5.839 eV per atom
crystal system: tetragonal
space group: No. 139
formation energy without anion corrections: -38.0 kcal/mol of atoms
total moment: 0.00 μB/cell

***

[8]
NaSbC3: optimized geometry, PBE.

Structure (POSCAR):
```
NaSbC3
1.0
4.351 0.000 0.000
0.000 4.351 0.000
0.000 0.000 4.351
Na Sb C
1 1 3
Cartesian
0.000 0.000 0.000
2.175 2.175 2.175
0.000 2.175 2.175
2.175 0.000 2.175
2.175 2.175 0.000
```

Calculated values
energy above the most stable polymorph in this dataset: 0 meV/atom
V: 16.5 Å³/atom
N(E_F): 3.029 states/eV/cell
total energy: -4.077 eV per atom
crystal system: cubic
space group: No. 221
formation energy without anion corrections: 58.7 kcal/mol of atoms
total moment: 0.00 μB/cell